Entry from the Alexandria database: Ac2Ce3PuTe6 after structural relaxation (PBE).

**Space group**: C2/m
**VASP energy**: -0.4621 Ry per atom
**Fermi-level density of states**: 33.0 states/eV/cell

abc: 10.256 10.256 9.209
angles: 103.79 103.79 25.60
Fractional positions:
Ac1 0.165 0.165 0.333
Ac2 0.835 0.835 0.667
Ce1 0.170 0.170 0.836
Ce2 0.500 0.500 0.500
Ce3 0.830 0.830 0.164
Pu1 0.500 0.500 0.000
Te1 0.005 0.005 0.757
Te2 0.336 0.336 0.408
Te3 0.336 0.336 0.928
Te4 0.664 0.664 0.072
Te5 0.664 0.664 0.592
Te6 0.995 0.995 0.243

Entry from the Alexandria database: NdSmYTm3 after structural relaxation (PBE).

**Space group**: Cmcm
**ΔE_f**: 0.114 eV per atom
**VASP energy**: -0.3513 Ry per atom
**Fermi-level density of states**: 25.1 states/eV/cell

abc: 6.382 6.382 11.657
angles: 90.00 90.00 125.69
Fractional positions:
Nd1 0.000 0.000 0.000
Nd2 0.000 0.000 0.500
Sm1 0.495 0.505 0.750
Sm2 0.505 0.495 0.250
Y1 0.175 0.825 0.750
Y2 0.825 0.175 0.250
Tm1 0.169 0.831 0.250
Tm2 0.328 0.672 0.005
Tm3 0.328 0.672 0.495
Tm4 0.672 0.328 0.505
Tm5 0.672 0.328 0.995
Tm6 0.831 0.169 0.750

Q: Fermi-level density of states of number 2 (NdSmYTm3)?
A: 25.1 states/eV/cell

Q: Which value of Fermi-level density of states does entry 2 give?
A: 25.1 states/eV/cell